# RbMgGa2

An optimized crystal structure of RbMgGa2 (PBE, the Alexandria database).

Lattice parameters (Å, degrees): 7.1543 7.1543 7.1543 38.56 38.56 38.56
Fractional coordinates of all 4 atoms:
Rb 0.0000 0.0000 0.0000
Mg 0.5000 0.5000 0.5000
Ga 0.1936 0.1936 0.1936
Ga 0.8064 0.8064 0.8064

calculated formation energy	-0.024	eV per atom
SG	R-3m



# RbMg6Ga

An optimized crystal structure of RbMg6Ga (PBE, the Alexandria database).

Lattice parameters (Å, degrees): 5.0585 6.6910 6.6910 72.83 90.00 90.00
Fractional coordinates of all 8 atoms:
Rb 0.0000 0.0000 0.0000
Mg 0.0000 0.0851 0.4756
Mg 0.0000 0.4756 0.0851
Mg 0.0000 0.5683 0.5683
Mg 0.5000 0.2792 0.6647
Mg 0.5000 0.6647 0.2792
Mg 0.5000 0.7421 0.7421
Ga 0.5000 0.2299 0.2299

calculated formation energy	0.171	eV per atom
SG	Amm2



Please write out number 1 again, unchanged.
# RbMgGa2

An optimized crystal structure of RbMgGa2 (PBE, the Alexandria database).

Lattice parameters (Å, degrees): 7.1543 7.1543 7.1543 38.56 38.56 38.56
Fractional coordinates of all 4 atoms:
Rb 0.0000 0.0000 0.0000
Mg 0.5000 0.5000 0.5000
Ga 0.1936 0.1936 0.1936
Ga 0.8064 0.8064 0.8064

calculated formation energy	-0.024	eV per atom
SG	R-3m



Repeat the first record exactly.
# RbMgGa2

An optimized crystal structure of RbMgGa2 (PBE, the Alexandria database).

Lattice parameters (Å, degrees): 7.1543 7.1543 7.1543 38.56 38.56 38.56
Fractional coordinates of all 4 atoms:
Rb 0.0000 0.0000 0.0000
Mg 0.5000 0.5000 0.5000
Ga 0.1936 0.1936 0.1936
Ga 0.8064 0.8064 0.8064

calculated formation energy	-0.024	eV per atom
SG	R-3m



> Among the records above, which one has the lowest calculated formation energy?

RbMgGa2